VASP calculation (PBE-GGA) on a geometry-optimized LiCe2Sn9 structure.

Output
Calculated density: 7.24 g cm⁻³
DFT total energy: -4.54 eV per atom

```
data_LiCe2Sn9
_chemical_formula_sum 'Li1 Ce2 Sn9'
_symmetry_space_group_name_H-M 'P 4/m m m'
_symmetry_Int_Tables_number 123
_symmetry_space_group_name_Hall '-P 4 2'
_cell_length_a 4.6961
_cell_length_b 4.6961
_cell_length_c 14.1013
_cell_angle_alpha 90.00
_cell_angle_beta 90.00
_cell_angle_gamma 90.00
loop_
_atom_site_label
_atom_site_fract_x
_atom_site_fract_y
_atom_site_fract_z
Li1 0.0000 0.0000 0.0000
Ce1 0.0000 0.0000 0.3373
Sn1 0.0000 0.5000 0.1596
Sn2 0.0000 0.5000 0.5000
Sn3 0.5000 0.5000 0.0000
Sn4 0.5000 0.5000 0.3301
```